# Pr2TmSc8 | Alexandria via LeMat-Bulk | PBE-GGA | relaxed
# formation energy from the elements: 0.158 eV per atom
# raw total energy: -125.89 eV for the cell shown
# DOS(E_F): 14.86 states/eV/f.u.
data_Pr2TmSc8
_cell_length_a 8.641
_cell_length_b 15.245
_cell_length_c 5.544
_cell_angle_alpha 90.00
_cell_angle_beta 124.47
_cell_angle_gamma 90.00
_space_group_name_H-M_alt 'C 1 2/m 1'
_space_group_IT_number 12
loop_
_space_group_symop_operation_xyz
'x,y,z'
'-x,-y,-z'
'-x,y,-z'
'x,-y,z'
'x+1/2,y+1/2,z'
'-x+1/2,-y+1/2,-z'
'-x+1/2,y+1/2,-z'
'x+1/2,-y+1/2,z'
loop_
_atom_site_label
_atom_site_type_symbol
_atom_site_fract_x
_atom_site_fract_y
_atom_site_fract_z
Pr1 Pr 0.000 0.194 0.000
Tm1 Tm 0.000 0.500 0.500
Sc1 Sc 0.000 0.294 0.500
Sc2 Sc 0.060 0.000 0.293
Sc3 Sc 0.212 0.385 0.179